# KHgH (GGA-PBE, relaxed)
# VASP energy: -1.628 eV per atom
# total magnetization: 0.0 μB/cell
# D(E_F): 0.000 states/eV per cell
# space-group type: P3m1
# density: 4.9 g/cm³
data_KHgH
_space_group_name_H-M_alt 'P 1'
_space_group_IT_number 1
_space_group_name_Hall 'P 1'
_cell_length_a 5.5609
_cell_length_b 4.0974
_cell_length_c 4.0974
_cell_angle_alpha 120.00
_cell_angle_beta 90.00
_cell_angle_gamma 90.00
loop_
_atom_site_label
_atom_site_type_symbol
_atom_site_fract_x
_atom_site_fract_y
_atom_site_fract_z
Hg1 Hg 0.2656 0.3333 0.6667
K1 K 0.7659 0.6667 0.3333
H1 H 0.9684 0.0000 0.0000